Material: Ca4Be4P4O17F3
Method: DFT, PBE
State: optimized geometry

Unit cell a=4.8426 b=7.7579 c=9.8010 alpha=89.98 beta=89.33 gamma=90.13
Closest atoms and distances in Å follow each position.
Positions (direct):
Ca (0.9989, 0.8824, 0.6695)  6 O 2.37-2.64, 1 F 2.49
Ca (0.9961, 0.6102, 0.1696)  5 O 2.36-2.62, 2 F 2.40-2.55
Ca (0.0021, 0.3872, 0.8312)  6 O 2.36-2.64, 1 F 2.42
Ca (0.0059, 0.1097, 0.3312)  5 O 2.39-2.59, 2 F 2.41-2.55
P (0.5278, 0.2321, 0.5831)  4 O 1.54-1.57
P (0.4714, 0.7306, 0.9198)  4 O 1.53-1.57
P (0.5273, 0.2693, 0.0811)  4 O 1.53-1.57
P (0.4721, 0.7698, 0.4188)  4 O 1.53-1.57
O (0.3247, 0.3438, 0.1927)  1 P 1.57, 1 Be 1.66
O (0.2436, 0.6034, 0.9614)  1 P 1.53
O (0.6733, 0.6557, 0.8084)  1 P 1.57, 1 Be 1.66
O (0.2434, 0.8958, 0.4594)  1 P 1.53
O (0.6589, 0.3963, 0.6465)  1 P 1.56, 1 Be 1.60
O (0.3349, 0.8927, 0.8546)  1 P 1.56, 1 Be 1.62
O (0.3428, 0.6059, 0.3523)  1 P 1.56, 1 Be 1.61
O (0.3209, 0.1564, 0.6918)  1 P 1.57, 1 Be 1.66
O (0.3595, 0.2794, 0.4544)  1 P 1.55, 1 Be 1.62
O (0.6632, 0.1066, 0.1459)  1 P 1.56, 1 Be 1.61
O (0.3500, 0.2162, 0.9567)  1 P 1.56, 1 Be 1.63
O (0.7591, 0.1045, 0.5461)  1 P 1.54
O (0.6473, 0.7831, 0.0449)  1 P 1.55, 1 Be 1.62
O (0.6450, 0.7184, 0.5450)  1 P 1.55, 1 Be 1.62
O (0.7537, 0.3973, 0.0398)  1 P 1.53
O (0.7858, 0.0961, 0.8122)  1 Be 1.62
O (0.6766, 0.8474, 0.3089)  1 P 1.57, 1 Be 1.66
F (0.2165, 0.9089, 0.1748)  1 Be 1.58
F (0.2136, 0.5908, 0.6748)  1 Be 1.58
F (0.7874, 0.4076, 0.3255)  1 Be 1.58
Be (0.4551, 0.0866, 0.8364)  4 O 1.62-1.66
Be (0.5390, 0.5877, 0.6631)  1 F 1.58, 3 O 1.60-1.66
Be (0.4617, 0.4134, 0.3368)  1 F 1.58, 3 O 1.61-1.66
Be (0.5422, 0.9145, 0.1630)  1 F 1.58, 3 O 1.61-1.66

The space-group type is P1. As for the uncorrected formation energy: -2.80 eV per atom.

Material: Tb2ThP3
Method: DFT, PBE
State: optimized geometry

Unit cell a=4.0367 b=8.1067 c=9.8974 alpha=108.33 beta=90.00 gamma=104.42
Closest atoms and distances in Å follow each position.
Positions (direct):
P (0.9708, 0.9416, 0.1947)  3 Th 2.91-2.93, 3 Tb 2.94-2.97
P (0.6401, 0.2802, 0.5271)  4 Tb 2.86-2.94, 2 Th 2.93
P (0.3599, 0.7198, 0.4729)  4 Tb 2.86-2.94, 2 Th 2.93
P (0.3049, 0.6099, 0.8601)  5 Tb 2.88-2.91, 1 Th 2.92
P (0.0292, 0.0584, 0.8053)  3 Th 2.91-2.93, 3 Tb 2.94-2.97
P (0.6951, 0.3901, 0.1399)  5 Tb 2.88-2.91, 1 Th 2.92
Tb (0.8307, 0.6615, 0.6648)  6 P 2.86-2.97
Tb (0.6702, 0.3403, 0.8360)  6 P 2.88-2.94
Tb (0.3298, 0.6597, 0.1640)  6 P 2.88-2.94
Tb (0.1693, 0.3385, 0.3352)  6 P 2.86-2.97
Th (0.5000, 0.0000, 0.0000)  6 P 2.92-2.93
Th (0.0000, 0.0000, 0.5000)  6 P 2.91-2.93

The space-group type is C2/m. The energy of formation from the pure elements comes out at -1384.7 meV per atom.

Material: Ag8Te6Au
Method: DFT, PBE
State: optimized geometry

Unit cell a=7.5099 b=7.5099 c=8.9223 alpha=65.11 beta=65.11 gamma=60.00
Closest atoms and distances in Å follow each position.
Positions (direct):
Ag (0.8211, 0.1200, 0.4309)  3 Te 2.83-2.93, 4 Ag 2.84-2.98
Ag (0.1200, 0.6279, 0.4309)  3 Te 2.83-2.93, 4 Ag 2.84-2.98
Ag (0.8800, 0.3721, 0.5691)  3 Te 2.83-2.93, 4 Ag 2.84-2.98
Ag (0.5746, 0.5746, 0.2762)  3 Te 2.79, 3 Ag 2.98
Ag (0.3721, 0.1789, 0.5691)  3 Te 2.83-2.93, 4 Ag 2.84-2.98
Ag (0.4254, 0.4254, 0.7238)  3 Te 2.79, 3 Ag 2.98
Ag (0.6279, 0.8211, 0.4309)  3 Te 2.83-2.93, 4 Ag 2.84-2.98
Ag (0.1789, 0.8800, 0.5691)  3 Te 2.83-2.93, 4 Ag 2.84-2.98
Au (0.0000, 0.0000, 0.0000)  6 Te 2.94
Te (0.4147, 0.7566, 0.7991)  4 Ag 2.79-2.93, 1 Au 2.94
Te (0.9704, 0.5853, 0.2009)  4 Ag 2.79-2.93, 1 Au 2.94
Te (0.7566, 0.0296, 0.7991)  4 Ag 2.79-2.93, 1 Au 2.94
Te (0.0296, 0.4147, 0.7991)  4 Ag 2.79-2.93, 1 Au 2.94
Te (0.5853, 0.2434, 0.2009)  4 Ag 2.79-2.93, 1 Au 2.94
Te (0.2434, 0.9704, 0.2009)  4 Ag 2.79-2.93, 1 Au 2.94

The space-group type is R-3. As for the uncorrected formation energy: 0.00 eV per atom.

Material: SrSi2Ru
Method: DFT, PBE
State: optimized geometry

Unit cell a=5.1841 b=5.1841 c=8.2994 alpha=71.80 beta=71.80 gamma=90.00
Closest atoms and distances in Å follow each position.
Positions (direct):
Si (0.8752, 0.1250, 0.2500)  2 Ru 2.27
Si (0.8750, 0.1252, 0.7500)  2 Ru 2.27
Si (0.8748, 0.6250, 0.2500)  2 Ru 2.27
Si (0.3750, 0.1248, 0.7500)  2 Ru 2.27
Sr (0.2500, 0.7500, 0.5000)  8 Si 3.44-3.45, 4 Ru 3.67
Sr (0.5000, 0.5000, 0.0000)  8 Si 3.44-3.45, 4 Ru 3.67
Ru (0.0000, 0.0000, 0.0000)  4 Si 2.27
Ru (0.7500, 0.2500, 0.5000)  4 Si 2.27

The space-group type is I4_1/amd. As for the uncorrected formation energy: -0.34 eV per atom.

Material: Rb2Pd4F
Method: DFT, PBE
State: optimized geometry

Unit cell a=4.5840 b=4.5840 c=9.1099 alpha=75.43 beta=75.43 gamma=90.00
Closest atoms and distances in Å follow each position.
Positions (direct):
Pd (0.8649, 0.8649, 0.2701)  1 F 2.30
Pd (0.1351, 0.1351, 0.7299)  1 F 2.30
Pd (0.0000, 0.5000, 0.0000)  2 F 2.29
Pd (0.5000, 0.0000, 0.0000)  2 F 2.29
Rb (0.3405, 0.3405, 0.3190)  9 Pd 3.27-3.55
Rb (0.6595, 0.6595, 0.6810)  9 Pd 3.27-3.55
F (0.0000, 0.0000, 0.0000)  6 Pd 2.29-2.30

The space-group type is I4/mmm. As for the uncorrected formation energy: 0.31 eV per atom.

Material: Ba3Sr2
Method: DFT, PBE
State: optimized geometry

Unit cell a=12.0925 b=12.0925 c=8.5317 alpha=44.87 beta=44.87 gamma=60.00
Closest atoms and distances in Å follow each position.
Positions (direct):
Sr (0.3752, 0.3752, 0.8744)  2 Sr 3.67-3.68
Sr (0.1248, 0.1248, 0.6256)  2 Sr 3.67-3.68
Sr (0.8752, 0.8752, 0.3744)  2 Sr 3.67-3.68
Sr (0.6248, 0.6248, 0.1256)  2 Sr 3.67-3.68
Ba (0.0755, 0.7500, 0.7500)  4 Sr 4.12-4.35
Ba (0.5755, 0.9245, 0.2500)  4 Sr 4.12-4.35
Ba (0.7500, 0.4245, 0.7500)  4 Sr 4.12-4.35
Ba (0.9245, 0.2500, 0.2500)  4 Sr 4.12-4.35
Ba (0.4245, 0.0755, 0.7500)  4 Sr 4.12-4.35
Ba (0.2500, 0.5755, 0.2500)  4 Sr 4.12-4.35

The space-group type is R-3c. The energy of formation from the pure elements comes out at 125.2 meV per atom. The value obtained for the excess energy over the best structure of this formula in the dataset is 50.5 kJ/mol of formula units.

Material: TlMoIr2
Method: DFT, PBE
State: optimized geometry

Unit cell a=2.8904 b=2.8904 c=8.0578 alpha=90.00 beta=90.00 gamma=89.98
Closest atoms and distances in Å follow each position.
Positions (direct):
Mo (0.5000, 0.5000, 0.2500)  8 Ir 2.71, 4 Mo 2.89
Tl (0.5000, 0.5000, 0.7500)  4 Tl 2.89, 8 Ir 3.04
Ir (0.0000, 0.0000, 0.4711)  4 Mo 2.71, 4 Ir 2.89
Ir (0.0000, 0.0000, 0.0289)  4 Mo 2.71, 4 Ir 2.89

The space-group type is P4/mmm. The energy of formation from the pure elements comes out at 88.1 meV per atom. The value obtained for the excess energy over the best structure of this formula in the dataset is 0.0 kJ/mol of formula units.

Material: LiTaGeRuI
Method: DFT, PBE
State: optimized geometry

Unit cell a=3.8265 b=3.9230 c=14.3331 alpha=90.00 beta=104.52 gamma=90.00
Closest atoms and distances in Å follow each position.
Positions (direct):
I (0.5353, 0.0000, 0.1932)  4 Li 2.82-2.83, 2 Ru 2.89
I (0.5353, 0.5000, 0.6932)  4 Li 2.82-2.83, 2 Ru 2.89
Ru (0.7204, 0.0000, 0.8454)  2 Ta 2.42-2.66, 2 Ge 2.51
Ru (0.7204, 0.5000, 0.3454)  2 Ta 2.42-2.66, 2 Ge 2.51
Li (0.9867, 0.0000, 0.6441)  1 Ge 2.61, 4 I 2.82-2.83
Li (0.9867, 0.5000, 0.1441)  1 Ge 2.61, 4 I 2.82-2.83
Ge (0.8789, 0.5000, 0.9571)  2 Ru 2.51, 1 Li 2.61, 4 Ta 2.71-2.77
Ge (0.8789, 0.0000, 0.4571)  2 Ru 2.51, 1 Li 2.61, 4 Ta 2.71-2.77
Ta (0.3763, 0.0000, 0.9656)  2 Ru 2.42-2.66
Ta (0.3763, 0.5000, 0.4656)  2 Ru 2.42-2.66

The space-group type is Cm. As for the uncorrected formation energy: -0.02 eV per atom. The value obtained for the excess energy over the best structure of this formula in the dataset is 95.4 kJ/mol of formula units.

| no. | total energy (eV per cell) | spin magnetization (μB per formula unit) |
| --- | --- | --- |
| 1 | -224.18 | 1.21 |
| 2 | -82.44 | 0.00 |
| 3 | -44.95 | 0.00 |
| 4 | -46.34 | 0.00 |
| 5 | -22.39 | 0.00 |
| 6 | -17.01 | 1.49 |
| 7 | -30.57 | 0.00 |
| 8 | -58.60 | 0.00 |